# 1
A relaxed Er3Ag crystal. Source: Alexandria via LeMat-Bulk, functional PBE.

Properties
- Relative energy among the computed polymorphs: 0.78 eV per formula unit
- SG: Fm-3m
- Electronic total energy: -4.075 eV/atom

```
Er3Ag
1.0
0.0000 3.7641 3.7641
3.7641 0.0000 3.7641
3.7641 3.7641 0.0000
Er Ag
3 1
direct
0.0000 0.0000 0.0000
0.2500 0.2500 0.2500
0.7500 0.7500 0.7500
0.5000 0.5000 0.5000
```

# 2
A relaxed Er6Ag5 crystal. Source: Alexandria via LeMat-Bulk, functional PBE.

Properties
- SG: Immm
- Electronic total energy: -4.017 eV/atom

```
Er6Ag5
1.0
-2.5330 3.5759 7.5830
2.5330 -3.5759 7.5830
2.5330 3.5759 -7.5830
Er Ag
6 5
direct
0.0845 0.3365 0.7480
0.2477 0.0000 0.2477
0.4114 0.6635 0.7480
0.5886 0.3365 0.2520
0.7523 0.0000 0.7523
0.9155 0.6635 0.2520
0.1690 0.1690 0.0000
0.3311 0.8311 0.5000
0.5000 0.5000 0.0000
0.6689 0.1689 0.5000
0.8310 0.8310 0.0000
```

# 3
A relaxed Er5Ag2 crystal. Source: Alexandria via LeMat-Bulk, functional PBE.

Properties
- Relative energy among the computed polymorphs: 0.15 eV per formula unit
- SG: Ibam
- Electronic total energy: -4.187 eV/atom

```
Er5Ag2
1.0
-3.6274 7.6473 3.3979
3.6274 -7.6473 3.3979
3.6274 7.6473 -3.3979
Er Ag
10 4
direct
0.0241 0.2500 0.7741
0.0894 0.6459 0.7354
0.2500 0.2500 0.0000
0.4106 0.1459 0.5565
0.4759 0.2500 0.2259
0.5241 0.7500 0.7741
0.5894 0.8541 0.4435
0.7500 0.7500 0.0000
0.9106 0.3541 0.2646
0.9759 0.7500 0.2259
0.1195 0.2566 0.3761
0.3805 0.7566 0.1371
0.6195 0.2434 0.8629
0.8805 0.7434 0.6239
```

Computed formation enthalpy at 0 K (eV/atom) in order:
0.060, -0.232, -0.113